Record 1
! K2ScMn, single point on PBEsol structure, DFT meta-GGA SCAN; values from VASP
&SYSTEM
  ibrav = 0, nat = 4, ntyp = 3
/
ATOMIC_SPECIES
K 39.10 K.upf
Mn 54.94 Mn.upf
Sc 44.96 Sc.upf
ATOMIC_POSITIONS crystal
K 0.0000 0.0000 0.7713
K 0.0000 0.0000 0.2287
Mn 0.5000 0.5000 0.0000
Sc 0.5000 0.5000 0.5000
CELL_PARAMETERS angstrom
-1.9699 2.6164 -0.2260
-2.4922 -1.9515 -0.8705
-3.0710 -1.3009 11.7091
! energy of formation from the pure elements: 0.7796 eV per atom
! total DFT energy (no corrections): -11.508 eV/atom
! DOS at the Fermi energy: 1.065 states/eV/atom



Record 2
! LaZnIr, single point on PBEsol structure, DFT meta-GGA SCAN; values from VASP
&SYSTEM
  ibrav = 0, nat = 3, ntyp = 3
/
ATOMIC_SPECIES
Ir 192.22 Ir.upf
La 138.91 La.upf
Zn 65.41 Zn.upf
ATOMIC_POSITIONS crystal
Ir 0.0215 0.0215 0.0430
La 0.3468 0.3468 0.6936
Zn 0.6317 0.6317 0.2634
CELL_PARAMETERS angstrom
-2.4875 0.2032 -2.1043
-1.6109 -2.2866 1.6834
-0.2659 4.9665 3.3262
! energy of formation from the pure elements: -0.4096 eV per atom
! total DFT energy (no corrections): -42.983 eV/atom
! DOS at the Fermi energy: 0.144 states/eV/atom



Record 3
! La2SbBr, single point on PBEsol structure, DFT meta-GGA SCAN; values from VASP
&SYSTEM
  ibrav = 0, nat = 4, ntyp = 3
/
ATOMIC_SPECIES
Sb 121.76 Sb.upf
Br 79.90 Br.upf
La 138.91 La.upf
ATOMIC_POSITIONS crystal
Sb 0.0000 0.0000 0.0000
Br 0.5000 0.5000 0.5000
La 0.2500 0.2500 0.2500
La 0.7500 0.7500 0.7500
CELL_PARAMETERS angstrom
-2.4423 3.2571 -3.5326
-2.9528 -2.0886 -3.9965
-5.3658 0.5068 0.0648
! total DFT energy (no corrections): -37.152 eV/atom
! DOS at the Fermi energy: 0.386 states/eV/atom



Record 4
! Ti3ReAs, single point on PBEsol structure, DFT meta-GGA SCAN; values from VASP
&SYSTEM
  ibrav = 0, nat = 5, ntyp = 3
/
ATOMIC_SPECIES
Re 186.21 Re.upf
As 74.92 As.upf
Ti 47.87 Ti.upf
ATOMIC_POSITIONS crystal
Re 0.0000 0.0000 0.0000
As 0.5000 0.5000 0.5000
Ti 0.0000 0.5000 0.0000
Ti 0.0000 0.0000 0.5000
Ti 0.5000 0.0000 0.0000
CELL_PARAMETERS angstrom
-3.7175 -2.6750 -0.9266
1.2972 -2.9690 3.3670
-2.5162 2.4215 3.1047
! energy of formation from the pure elements: 0.4959 eV per atom
! total DFT energy (no corrections): -27.380 eV/atom
! DOS at the Fermi energy: 0.953 states/eV/atom